Here is a geometry-optimized Nd2Dy3Y6 structure from Alexandria via LeMat-Bulk. Energies are from GGA-PBE. Values from VASP.

Structure (Quantum ESPRESSO input):
```
&SYSTEM
  ibrav = 0, nat = 11, ntyp = 3
/
ATOMIC_SPECIES
Nd 144.24 Nd.upf
Dy 162.50 Dy.upf
Y 88.91 Y.upf
ATOMIC_POSITIONS angstrom
Nd 14.268 4.852 -2.426
Nd 1.328 2.213 2.633
Dy 0.000 0.000 0.000
Dy 9.342 4.939 1.270
Dy 6.254 2.127 -1.063
Y 4.371 0.829 1.611
Y 3.182 3.501 -0.036
Y 11.226 6.236 -1.404
Y 12.414 3.564 0.243
Y 6.133 3.847 1.816
Y 9.463 3.218 -1.609
CELL_PARAMETERS angstrom
-1.287 4.400 1.229
1.090 -0.944 4.522
15.794 3.609 -5.544
```

Computed properties:
space-group type = No. 139
excess energy over the best structure of this formula in the dataset = 94.0 meV per atom
volume = 34.389 Å³/atom
formation enthalpy at 0 K = 0.28 eV per atom
Fermi-level density of states = 17.82 states/eV/cell
final energy = -59.04 eV/f.u.

Here is a geometry-optimized Li6Hg2Au structure from Alexandria via LeMat-Bulk. Energies are from GGA-PBE. Values from VASP.

Structure (Quantum ESPRESSO input):
```
&SYSTEM
  ibrav = 0, nat = 9, ntyp = 3
/
ATOMIC_SPECIES
Li 6.94 Li.upf
Hg 200.59 Hg.upf
Au 196.97 Au.upf
ATOMIC_POSITIONS angstrom
Li 2.709 2.724 3.814
Li 6.006 -2.421 6.811
Li 6.113 2.780 6.575
Li 4.330 -1.184 5.373
Li 4.385 1.487 5.252
Li 2.602 -2.477 4.050
Hg 5.224 0.248 7.840
Hg 3.491 0.055 2.784
Au 10.476 0.163 8.346
CELL_PARAMETERS angstrom
-1.761 0.140 2.278
5.158 -3.783 4.349
5.317 3.947 3.998
```

Computed properties:
space-group type = No. 12
volume = 16.601 Å³/atom
formation enthalpy at 0 K = -0.32 eV per atom
Fermi-level density of states = 3.82 states/eV/cell
final energy = -18.27 eV/f.u.

Here is a geometry-optimized Cd5GeCl12 structure from Alexandria via LeMat-Bulk. Energies are from GGA-PBE. Values from VASP.

Structure (Quantum ESPRESSO input):
```
&SYSTEM
  ibrav = 0, nat = 18, ntyp = 3
/
ATOMIC_SPECIES
Cd 112.41 Cd.upf
Ge 72.64 Ge.upf
Cl 35.45 Cl.upf
ATOMIC_POSITIONS angstrom
Cd 3.386 0.000 6.461
Cd 3.386 3.916 6.461
Cd 6.769 1.958 6.464
Cd 6.767 3.916 0.005
Cd 3.383 1.957 0.003
Ge 0.000 0.000 0.000
Cl 5.645 0.000 5.025
Cl 1.128 0.000 7.897
Cl 4.491 0.000 11.468
Cl 5.665 5.874 1.457
Cl 4.529 3.894 11.468
Cl 9.010 3.894 1.459
Cl 1.145 1.980 11.466
Cl 5.627 1.980 1.456
Cl 4.512 1.958 7.899
Cl 7.895 3.916 7.902
Cl 2.260 1.958 5.023
Cl 5.644 3.916 5.026
CELL_PARAMETERS angstrom
6.767 0.000 0.005
3.383 5.874 0.003
0.005 0.000 12.917
```

Computed properties:
space-group type = No. 12
volume = 28.520 Å³/atom
formation energy without anion corrections = -1.03 eV/atom
Fermi-level density of states = 0.00 states/eV/cell
final energy = -49.94 eV/f.u.

Here is a geometry-optimized Tl2FeGe structure from Alexandria via LeMat-Bulk. Energies are from GGA-PBE. Values from VASP.

Structure (Quantum ESPRESSO input):
```
&SYSTEM
  ibrav = 0, nat = 8, ntyp = 3
/
ATOMIC_SPECIES
Tl 204.38 Tl.upf
Ge 72.64 Ge.upf
Fe 55.84 Fe.upf
ATOMIC_POSITIONS angstrom
Tl 5.097 2.546 0.565
Tl 5.087 7.638 0.565
Tl 7.638 10.179 1.695
Tl 12.730 10.190 1.695
Ge 0.000 0.000 0.000
Ge 10.184 5.092 1.130
Fe 5.092 5.092 0.000
Fe 5.092 10.184 1.130
CELL_PARAMETERS angstrom
10.184 0.000 0.000
0.000 10.184 0.000
5.092 5.092 2.260
```

Computed properties:
space-group type = No. 122
excess energy over the best structure of this formula in the dataset = 0.0 meV per atom
volume = 29.305 Å³/atom
formation enthalpy at 0 K = 0.24 eV per atom
Fermi-level density of states = 0.00 states/eV/cell
final energy = -16.85 eV/f.u.